# Pm4Nd8Cd (PBE-GGA, relaxed)
# V ... 1390 Å³ per cell
# Formation enthalpy at 0 K ... 112 meV per atom
# Fermi-level density of states ... 58.574 states/eV/cell
data_Pm4Nd8Cd
_symmetry_space_group_name_H-M 'R -3 m'
_symmetry_Int_Tables_number 166
_symmetry_space_group_name_Hall '-R 3 2"'
_cell_length_a 7.3077
_cell_length_b 7.3077
_cell_length_c 30.0486
_cell_angle_alpha 90.00
_cell_angle_beta 90.00
_cell_angle_gamma 120.00
loop_
_atom_site_label
_atom_site_fract_x
_atom_site_fract_y
_atom_site_fract_z
Pm1 0.0000 0.0000 0.0000
Pm2 0.0000 0.5000 0.0000
Nd1 0.0000 0.0000 0.2170
Nd2 0.0127 0.5064 0.7624
Cd1 0.0000 0.0000 0.5000

# Pm2Nd3Cd (PBE-GGA, relaxed)
# V ... 196 Å³ per cell
# Formation enthalpy at 0 K ... 1 meV per atom
# Fermi-level density of states ... 12.083 states/eV/cell
data_Pm2Nd3Cd
_symmetry_space_group_name_H-M 'P 4/m m m'
_symmetry_Int_Tables_number 123
_symmetry_space_group_name_Hall '-P 4 2'
_cell_length_a 4.182
_cell_length_b 4.182
_cell_length_c 11.179
_cell_angle_alpha 90.00
_cell_angle_beta 90.00
_cell_angle_gamma 90.00
loop_
_atom_site_label
_atom_site_fract_x
_atom_site_fract_y
_atom_site_fract_z
Pm1 0.000 0.000 0.164
Nd1 0.500 0.500 0.000
Nd2 0.500 0.500 0.347
Cd1 0.000 0.000 0.500

no.,M_tot (Bohr magnetons per cell)
1,0.0
2,0.0